1.
This record from the Alexandria database describes a crystal of Hg2TeOs relaxed with PBEsol. The functional is meta-GGA SCAN.

abc: 2.965 5.156 11.025
angles: 90.00 90.00 90.00
Space group Cmmm (No. 65)
Unique sites:
Hg1 0.000 0.000 0.214 x4
Te1 0.000 0.500 0.500 x2
Os1 0.000 0.500 0.000 x2

Values from the calculation:
- ΔE_f (raw): 876 meV per atom

=====

2.
This record from the Alexandria database describes a crystal of Hg2TeOs relaxed with PBEsol. The functional is meta-GGA SCAN.

abc: 4.056 4.056 4.801
angles: 90.00 90.00 90.00
Space group P4/mmm (No. 123)
Unique sites:
Hg1 0.000 0.500 0.000 x2
Te1 0.000 0.000 0.500 x1
Os1 0.500 0.500 0.500 x1

Values from the calculation:
- ΔE_f (raw): 999 meV per atom

=====

3.
This record from the Alexandria database describes a crystal of HgTe2Os relaxed with PBEsol. The functional is meta-GGA SCAN.

abc: 5.042 5.042 3.292
angles: 90.00 90.00 90.00
Space group P4/mmm (No. 123)
Unique sites:
Hg1 0.000 0.000 0.000 x1
Te1 0.000 0.500 0.500 x2
Os1 0.500 0.500 0.000 x1

Values from the calculation:
- ΔE_f (raw): 996 meV per atom